# PBE Cs2CaTiS4, relaxed
# * magnetic moment: 0.0 μB/f.u.
# * calculated density: 2.6 Mg/m³
# * DOS(E_F): 0.0 states/eV/cell
# * total DFT energy (no corrections): -316.8 eV for the cell shown
data_Cs2CaTiS4
_space_group_name_H-M_alt 'F d d d'
_space_group_IT_number 70
_cell_length_a 6.5682
_cell_length_b 14.4193
_cell_length_c 25.7803
_cell_angle_alpha 90.00
_cell_angle_beta 90.00
_cell_angle_gamma 90.00
loop_
_space_group_symop_operation_xyz
'x,y,z'
'-x,-y,-z'
'-x+1/4,-y+1/4,z'
'x+1/4,y+1/4,-z'
'x,-y+1/4,-z+1/4'
'-x,y+1/4,z+1/4'
'-x+1/4,y,-z+1/4'
'x+1/4,-y,z+1/4'
'x,y+1/2,z+1/2'
'-x,-y+1/2,-z+1/2'
'-x+1/4,-y+3/4,z+1/2'
'x+1/4,y+3/4,-z+1/2'
'x,-y+3/4,-z+3/4'
'-x,y+3/4,z+3/4'
'-x+1/4,y+1/2,-z+3/4'
'x+1/4,-y+1/2,z+3/4'
'x+1/2,y,z+1/2'
'-x+1/2,-y,-z+1/2'
'-x+3/4,-y+1/4,z+1/2'
'x+3/4,y+1/4,-z+1/2'
'x+1/2,-y+1/4,-z+3/4'
'-x+1/2,y+1/4,z+3/4'
'-x+3/4,y,-z+3/4'
'x+3/4,-y,z+3/4'
'x+1/2,y+1/2,z'
'-x+1/2,-y+1/2,-z'
'-x+3/4,-y+3/4,z'
'x+3/4,y+3/4,-z'
'x+1/2,-y+3/4,-z+1/4'
'-x+1/2,y+3/4,z+1/4'
'-x+3/4,y+1/2,-z+1/4'
'x+3/4,-y+1/2,z+1/4'
loop_
_atom_site_label
_atom_site_type_symbol
_atom_site_fract_x
_atom_site_fract_y
_atom_site_fract_z
Cs1 Cs 0.1250 0.1250 0.3050
Ca1 Ca 0.1250 0.1250 0.1250
Ti1 Ti 0.1250 0.1250 0.6250
S1 S 0.0814 0.2818 0.8262